An optimized crystal structure of PtWI, computed with GGA-PBE.

Calculated values
The energy comes out at -0.44583 Ry/atom. The value obtained for the total magnetization is 0.00 μB/cell. The raw formation energy comes out at 782 meV per atom.

abc: 13.475 3.228 5.554
angles: 90.00 90.00 90.00
Space group Amm2 (No. 38)
Asymmetric unit:
1 Pt 0.000 0.000 0.000 x2
2 Pt 0.500 0.000 0.157 x2
3 W 0.351 0.000 0.822 x4
4 I 0.200 0.000 0.152 x4


An optimized crystal structure of Pt4W2I, computed with GGA-PBE.

Calculated values
The energy comes out at -0.44715 Ry/atom. The value obtained for the total magnetization is 0.00 μB/cell. The raw formation energy comes out at 1290 meV per atom.

abc: 5.068 5.068 12.574
angles: 90.00 90.00 90.00
Space group I4/mmm (No. 139)
Asymmetric unit:
1 Pt 0.000 0.000 0.213 x4
2 Pt 0.000 0.500 0.000 x4
3 W 0.000 0.000 0.405 x4
4 I 0.000 0.000 0.000 x2


An optimized crystal structure of Pt3WI, computed with GGA-PBE.

Calculated values
The energy comes out at -0.34057 Ry/atom. As for the excess energy over the best structure of this formula in the dataset: 0.705 eV per atom. The value obtained for the total magnetization is 4.27 μB/cell. The raw formation energy comes out at 1891 meV per atom.

abc: 4.915 4.915 4.915
angles: 90.00 90.00 90.00
Space group Pm-3m (No. 221)
Asymmetric unit:
1 Pt 0.000 0.000 0.500 x3
2 W 0.500 0.500 0.500 x1
3 I 0.000 0.000 0.000 x1